Computed, not measured: a geometry-optimized YTlRh3 structure at the PBE level of DFT.

Properties
Total moment = 0.91 μB per formula unit
Electronic total energy = -5.2404 eV/atom
Density of states at the Fermi level = 1.08 states/eV/atom
Offset from the most stable computed form = 223 meV/atom
Formation enthalpy at 0 K = 0.937 eV/atom

a = 4.9485 Å, b = 4.9485 Å, c = 4.9485 Å
α = 90.00°, β = 90.00°, γ = 90.00°
Site moments in Bohr magnetons follow the coordinates.
Fractional positions:
Y1 0.0000 0.0000 0.0000  -0.04
Tl1 0.5000 0.5000 0.5000  0.00
Rh1 0.0000 0.5000 0.0000  0.35
Rh2 0.0000 0.0000 0.5000  0.35
Rh3 0.5000 0.0000 0.0000  0.24

---

Computed, not measured: a geometry-optimized Sr2CdInH structure at the PBE level of DFT.

Properties
Total moment = 0.00 μB per formula unit
Electronic total energy = -2.4000 eV/atom
Density of states at the Fermi level = 0.39 states/eV/atom
Offset from the most stable computed form = 0 meV/atom

a = 5.3250 Å, b = 5.3250 Å, c = 4.5930 Å
α = 90.00°, β = 90.00°, γ = 90.00°
Fractional positions:
Sr1 0.0000 0.5000 0.0000
Sr2 0.5000 0.0000 0.0000
Cd1 0.0000 0.0000 0.5000
H1 0.0000 0.0000 0.0000
In1 0.5000 0.5000 0.5000

---

Computed, not measured: a geometry-optimized Co2Ge2Mo structure at the PBE level of DFT.

Properties
Total moment = 0.00 μB per formula unit
Electronic total energy = -6.9347 eV/atom
Density of states at the Fermi level = 1.03 states/eV/atom
Formation enthalpy at 0 K = -0.079 eV/atom

a = 6.9747 Å, b = 6.9747 Å, c = 2.6700 Å
α = 90.00°, β = 90.00°, γ = 90.00°
Fractional positions:
Mo1 0.0000 0.0000 0.0000
Mo2 0.5000 0.5000 0.0000
Co1 0.1476 0.6476 0.5000
Co2 0.6476 0.8524 0.5000
Co3 0.8524 0.3524 0.5000
Co4 0.3524 0.1476 0.5000
Ge1 0.3504 0.8504 0.0000
Ge2 0.8504 0.6496 0.0000
Ge3 0.6496 0.1496 0.0000
Ge4 0.1496 0.3504 0.0000

---

Computed, not measured: a geometry-optimized NaPr2Sn9 structure at the PBE level of DFT.

Properties
Total moment = 0.00 μB per formula unit
Electronic total energy = -4.2868 eV/atom
Density of states at the Fermi level = 0.45 states/eV/atom
Formation enthalpy at 0 K = -0.378 eV/atom

a = 4.7304 Å, b = 4.7304 Å, c = 14.5999 Å
α = 90.00°, β = 90.00°, γ = 90.00°
Fractional positions:
Na1 0.0000 0.0000 0.0000
Pr1 0.0000 0.0000 0.3368
Pr2 0.0000 0.0000 0.6632
Sn1 0.5000 0.5000 0.0000
Sn2 0.5000 0.5000 0.3285
Sn3 0.5000 0.5000 0.6715
Sn4 0.5000 0.0000 0.1623
Sn5 0.5000 0.0000 0.5000
Sn6 0.5000 0.0000 0.8377
Sn7 0.0000 0.5000 0.1623
Sn8 0.0000 0.5000 0.5000
Sn9 0.0000 0.5000 0.8377

---

Computed, not measured: a geometry-optimized BaSc4Tl structure at the PBE level of DFT.

Properties
Total moment = 0.00 μB per formula unit
Electronic total energy = -4.6624 eV/atom
Density of states at the Fermi level = 1.25 states/eV/atom
Formation enthalpy at 0 K = 0.273 eV/atom

a = 6.2838 Å, b = 6.2838 Å, c = 6.2838 Å
α = 60.00°, β = 60.00°, γ = 60.00°
Fractional positions:
Ba1 0.0000 0.0000 0.0000
Sc1 0.8720 0.3760 0.3760
Sc2 0.3760 0.3760 0.8720
Sc3 0.3760 0.8720 0.3760
Sc4 0.3760 0.3760 0.3760
Tl1 0.7500 0.7500 0.7500

---

Computed, not measured: a geometry-optimized Pa2HgAuO8 structure at the PBE level of DFT.

Properties
Total moment = 0.70 μB per formula unit
Electronic total energy = -6.8949 eV/atom
Density of states at the Fermi level = 0.36 states/eV/atom

a = 5.7088 Å, b = 5.7088 Å, c = 7.1014 Å
α = 90.00°, β = 90.00°, γ = 120.00°
Site moments in Bohr magnetons follow the coordinates.
Fractional positions:
Pa1 0.6667 0.3333 0.1316  0.02
Pa2 0.3333 0.6667 0.8684  0.02
Hg1 0.0000 0.0000 0.5000  0.31
Au1 0.0000 0.0000 0.0000  0.00
O1 0.9196 0.6485 0.8687  0.02
O2 0.3515 0.2711 0.8687  0.02
O3 0.7289 0.0804 0.8687  0.02
O4 0.0804 0.3515 0.1313  0.02
O5 0.6485 0.7289 0.1313  0.02
O6 0.2711 0.9196 0.1313  0.02
O7 0.6667 0.3333 0.3970  0.04
O8 0.3333 0.6667 0.6030  0.04

---

Computed, not measured: a geometry-optimized LiPdI2O structure at the PBE level of DFT.

Properties
Total moment = 1.14 μB per formula unit
Electronic total energy = -3.3921 eV/atom
Density of states at the Fermi level = 0.55 states/eV/atom
Offset from the most stable computed form = 0 meV/atom

a = 5.6746 Å, b = 5.6746 Å, c = 3.9280 Å
α = 90.00°, β = 90.00°, γ = 90.00°
Site moments in Bohr magnetons follow the coordinates.
Fractional positions:
I1 0.0000 0.5000 0.0000  0.04
I2 0.5000 0.0000 0.0000  0.04
O1 0.0000 0.0000 0.5000  0.54
Pd1 0.0000 0.0000 0.0000  0.41
Li1 0.5000 0.5000 0.5000  0.00

---

Computed, not measured: a geometry-optimized YCu2W structure at the PBE level of DFT.

Properties
Total moment = 0.00 μB per formula unit
Electronic total energy = -6.6068 eV/atom
Density of states at the Fermi level = 0.82 states/eV/atom
Offset from the most stable computed form = 0 meV/atom
Formation enthalpy at 0 K = 0.296 eV/atom

a = 3.6443 Å, b = 2.9785 Å, c = 6.9064 Å
α = 64.92°, β = 90.00°, γ = 90.00°
Fractional positions:
Cu1 0.0000 0.9535 0.0468
Cu2 0.0000 0.5465 0.4532
W1 0.5000 0.2500 0.2500
Y1 0.5000 0.7500 0.7500